#A
Density functional theory data (PBE) for a relaxed structure of LiNiPb3.

The space-group type is Pm-3m.

Cell: 5.187 5.187 5.187 Å, 90.00 90.00 90.00°
Element x y z (fractional)
Li1 0.500 0.500 0.500
Pb1 0.000 0.000 0.500
Pb2 0.000 0.500 0.000
Pb3 0.500 0.000 0.000
Ni1 0.000 0.000 0.000

***

#B
Density functional theory data (PBE) for a relaxed structure of LiNiPb3.

The space-group type is Pm-3m.

Cell: 5.039 5.039 5.039 Å, 90.00 90.00 90.00°
Element x y z (fractional)
Ni1 0.500 0.500 0.500
Pb1 0.500 0.000 0.000
Pb2 0.000 0.500 0.000
Pb3 0.000 0.000 0.500
Li1 0.000 0.000 0.000

***

It is #A that is the most stable of them.

***

#A
Density functional theory data (PBE) for a relaxed structure of Li2Ni2Pb.

The space-group type is P4/mbm.

Cell: 6.846 6.846 3.047 Å, 90.00 90.00 90.00°
Element x y z (fractional)
Pb1 0.000 0.000 0.000
Ni1 0.676 0.824 0.500
Pb2 0.500 0.500 0.000
Li1 0.121 0.379 0.000
Li2 0.879 0.621 0.000
Ni2 0.324 0.176 0.500
Ni3 0.824 0.324 0.500
Ni4 0.176 0.676 0.500
Li3 0.379 0.879 0.000
Li4 0.621 0.121 0.000

***

#B
Density functional theory data (PBE) for a relaxed structure of Li2Ni2Pb.

The space-group type is I4/mmm.

Cell: 3.729 3.729 6.368 Å, 72.98 72.98 90.00°
Element x y z (fractional)
Pb1 0.000 0.000 0.000
Ni1 0.599 0.599 0.801
Li1 0.250 0.750 0.500
Ni2 0.401 0.401 0.199
Li2 0.750 0.250 0.500

***

#C
Density functional theory data (PBE) for a relaxed structure of Li2Ni2Pb.

The space-group type is P4/mbm.

Cell: 6.649 6.649 3.541 Å, 90.00 90.00 90.00°
Element x y z (fractional)
Li1 0.338 0.162 0.500
Ni1 0.374 0.874 0.000
Ni2 0.626 0.126 0.000
Li2 0.662 0.838 0.500
Li3 0.162 0.662 0.500
Ni3 0.874 0.626 0.000
Li4 0.838 0.338 0.500
Pb1 0.000 0.000 0.000
Ni4 0.126 0.374 0.000
Pb2 0.500 0.500 0.000

***

It is #C that is the most stable of them.

***

#A
Density functional theory data (PBE) for a relaxed structure of LiNi3Pb.

The space-group type is Pm-3m.

Cell: 4.842 4.842 4.842 Å, 90.00 90.00 90.00°
Last column: magnetic moment on the atom in μB.
Element x y z (fractional)
Pb1 0.000 0.000 0.000  0.00
Ni1 0.000 0.000 0.500  0.16
Ni2 0.000 0.500 0.000  0.35
Li1 0.500 0.500 0.500  0.00
Ni3 0.500 0.000 0.000  0.46

***

#B
Density functional theory data (PBE) for a relaxed structure of LiNi3Pb.

The space-group type is Pm-3m.

Cell: 4.109 4.109 4.109 Å, 90.00 90.00 90.00°
Element x y z (fractional)
Ni1 0.000 0.000 0.500
Ni2 0.000 0.500 0.000
Pb1 0.500 0.500 0.500
Ni3 0.500 0.000 0.000
Li1 0.000 0.000 0.000

***

It is #B that is the most stable of them.